Record 1
Crystalline BeB2C at its relaxed geometry, computed with GGA-PBE.

- ΔE_f: 2.061 eV/atom
- Energy relative to the lowest polymorph listed for this composition: 1.441 eV/atom
- SG: No. 225

abc: 3.394 3.394 3.394
angles: 60.00 60.00 60.00
Fractional coordinates of all 4 atoms:
B (0.750, 0.750, 0.750)
Be (0.000, 0.000, 0.000)
B (0.250, 0.250, 0.250)
C (0.500, 0.500, 0.500)

Record 2
Crystalline BeB2C at its relaxed geometry, computed with GGA-PBE.

- ΔE_f: 0.620 eV/atom
- Energy relative to the lowest polymorph listed for this composition: 0.000 eV/atom
- SG: No. 122

abc: 4.457 4.457 4.588
angles: 60.94 60.94 90.00
Fractional coordinates of all 8 atoms:
C (0.000, 0.000, 0.000)
B (0.375, 0.291, 0.750)
Be (0.250, 0.750, 0.500)
B (0.875, 0.959, 0.750)
B (0.041, 0.625, 0.250)
C (0.750, 0.250, 0.500)
Be (0.500, 0.500, 0.000)
B (0.709, 0.125, 0.250)

Record 3
Crystalline BeBC at its relaxed geometry, computed with GGA-PBE.

- ΔE_f: 0.075 eV/atom
- Energy relative to the lowest polymorph listed for this composition: 0.074 eV/atom
- SG: No. 25

abc: 3.350 2.781 4.892
angles: 90.00 90.00 90.00
Fractional coordinates of all 6 atoms:
Be (0.000, 0.500, 0.169)
Be (0.000, 0.000, 0.794)
B (0.500, 0.000, 0.069)
C (0.500, 0.000, 0.723)
C (0.500, 0.500, 0.245)
B (0.500, 0.500, 0.566)

| no. | M_tot (μB/cell) |
| --- | --- |
| 1 | 0.0 |
| 2 | 0.0 |
| 3 | 0.0 |